The following is a GGA-PBE calculation of Na2Tb3Te4Cl3O12 after structural relaxation, from the Open Quantum Materials Database.

Lattice parameters (Å, degrees): 12.1620 12.1620 16.6318 132.85 132.85 26.32
Atoms (fractional coordinates):
Cl 0.0000 0.5000 0.0000
Cl 0.4978 0.0016 0.1679
Cl 0.9984 0.5022 0.3321
Cl 0.5000 0.0000 0.5000
Cl 0.0016 0.4978 0.6679
Cl 0.5022 0.9984 0.8321
Na 0.9454 0.3855 0.0711
Na 0.6145 0.0546 0.4289
Na 0.3855 0.9454 0.5711
Na 0.0546 0.6145 0.9289
O 0.3953 0.4306 0.0716
O 0.0698 0.1025 0.0783
O 0.5220 0.6214 0.0920
O 0.8762 0.9718 0.1111
O 0.1472 0.9910 0.2143
O 0.4992 0.3530 0.2407
O 0.6470 0.5008 0.2593
O 0.0090 0.8528 0.2857
O 0.0282 0.1238 0.3889
O 0.3786 0.4780 0.4080
O 0.8975 0.9302 0.4217
O 0.5694 0.6047 0.4284
O 0.4306 0.3953 0.5716
O 0.1025 0.0698 0.5783
O 0.6214 0.5220 0.5920
O 0.9718 0.8762 0.6111
O 0.9910 0.1472 0.7143
O 0.3530 0.4992 0.7407
O 0.5008 0.6470 0.7593
O 0.8528 0.0090 0.7857
O 0.1238 0.0282 0.8889
O 0.4780 0.3786 0.9080
O 0.9302 0.8975 0.9217
O 0.6047 0.5694 0.9284
Tb 0.7529 0.2495 0.0853
Tb 0.2523 0.7477 0.2500
Tb 0.7505 0.2471 0.4147
Tb 0.2495 0.7529 0.5853
Tb 0.7477 0.2523 0.7500
Tb 0.2471 0.7505 0.9147
Te 0.5602 0.1618 0.0925
Te 0.3420 0.9311 0.2006
Te 0.0689 0.6580 0.2994
Te 0.8382 0.4398 0.4075
Te 0.1618 0.5602 0.5925
Te 0.9311 0.3420 0.7006
Te 0.6580 0.0689 0.7994
Te 0.4398 0.8382 0.9075

Summary:
- Theoretical density: 5.664 g/cm³
- Total DFT energy (no corrections): -5.9534 eV/atom
- SG: C2/c, No. 15